1.
Material: ZrCrW
Method: DFT, PBE
State: optimized geometry

Calculated values
Energy of formation from the pure elements   11.12 kJ/mol of atoms
Total magnetic moment   0.00 μB per formula unit
Distance to the lowest polymorph of the same formula   0.194 eV/atom
DFT total energy   -10.2597 eV per atom

a b c (Å): 3.1367 3.1367 10.1004
angles (deg): 90.00 90.00 90.00
Closest atoms and distances in Å follow each position.
Space group I4mm (No. 107)
One atom of each set of equivalent atoms:
Zr1 0.0000 0.0000 0.0000  4 Cr 2.85, 5 W 2.94-3.13, 4 Zr 3.14
Cr1 0.0000 0.0000 0.6771  4 W 2.59, 4 Zr 2.85
W1 0.0000 0.0000 0.3094  4 Cr 2.59

=====

2.
Material: ZrCr2W
Method: DFT, PBE
State: optimized geometry

Calculated values
Energy of formation from the pure elements   43.90 kJ/mol of atoms
Total magnetic moment   0.00 μB per formula unit
Distance to the lowest polymorph of the same formula   0.325 eV/atom
DFT total energy   -9.7320 eV per atom

a b c (Å): 2.8791 2.8791 26.1953
angles (deg): 90.00 90.00 120.00
Closest atoms and distances in Å follow each position.
Space group R3m (No. 160, hexagonal axes)
One atom of each set of equivalent atoms:
Zr1 0.0000 0.0000 0.0000  6 Zr 2.88, 3 Cr 2.90, 3 W 3.07
Cr1 0.0000 0.0000 0.2425  3 Cr 2.34
Cr2 0.0000 0.0000 0.5128  3 Cr 2.34
W1 0.0000 0.0000 0.7653  3 Cr 2.69, 6 W 2.88

=====

3.
Material: ZrCr4W
Method: DFT, PBE
State: optimized geometry

Calculated values
Energy of formation from the pure elements   1.38 kJ/mol of atoms
Total magnetic moment   0.00 μB per formula unit
DFT total energy   -9.9848 eV per atom

a b c (Å): 6.9730 6.9730 6.9730
angles (deg): 90.00 90.00 90.00
Closest atoms and distances in Å follow each position.
Space group F-43m (No. 216)
One atom of each set of equivalent atoms:
Zr1 0.0000 0.0000 0.0000  12 Cr 2.89, 4 W 3.02
Cr1 0.1244 0.1244 0.6244  6 Cr 2.45-2.48
W1 0.2500 0.2500 0.2500  12 Cr 2.89, 4 Zr 3.02

=====

4.
Material: ZrCr2W
Method: DFT, PBE
State: optimized geometry

Calculated values
Energy of formation from the pure elements   19.98 kJ/mol of atoms
Total magnetic moment   0.08 μB per formula unit
Distance to the lowest polymorph of the same formula   0.077 eV/atom
DFT total energy   -9.9800 eV per atom

a b c (Å): 3.0271 3.0271 6.7244
angles (deg): 90.00 90.00 90.00
Closest atoms and distances in Å follow each position.
Space group P4mm (No. 99)
One atom of each set of equivalent atoms:
Zr1 0.0000 0.0000 0.0000  4 Cr 2.84, 4 W 2.96, 4 Zr 3.03
Cr1 0.0000 0.0000 0.4752  4 Cr 2.52, 4 W 2.61
Cr2 0.5000 0.5000 0.2781  4 Cr 2.52, 1 W 2.82
W1 0.5000 0.5000 0.6970  5 Cr 2.61-2.82

=====

5.
Material: ZrCr2W
Method: DFT, PBE
State: optimized geometry

Calculated values
Energy of formation from the pure elements   26.93 kJ/mol of atoms
Total magnetic moment   0.00 μB per formula unit
Distance to the lowest polymorph of the same formula   0.149 eV/atom
DFT total energy   -9.9079 eV per atom

a b c (Å): 2.8237 4.3043 5.1301
angles (deg): 90.00 100.95 90.00
Closest atoms and distances in Å follow each position.
Space group Pm (No. 6)
One atom of each set of equivalent atoms:
Zr1 0.0000 0.0000 0.0000  4 Cr 2.64-2.73, 2 W 2.79, 2 Zr 2.82
Cr1 0.5101 0.0000 0.4873  2 W 2.60, 4 Cr 2.62-2.82, 2 Zr 2.64-2.73
Cr2 0.7451 0.5000 0.2492  2 W 2.54-2.83, 4 Cr 2.62-2.82, 2 Zr 2.67
W1 0.2636 0.5000 0.7127  4 Cr 2.54-2.83, 2 Zr 2.79, 2 W 2.82

=====

6.
Material: ZrCrW
Method: DFT, PBE
State: optimized geometry

Calculated values
Energy of formation from the pure elements   23.92 kJ/mol of atoms
Total magnetic moment   0.00 μB per formula unit
Distance to the lowest polymorph of the same formula   0.326 eV/atom
DFT total energy   -10.1270 eV per atom

a b c (Å): 3.1760 4.7220 13.2532
angles (deg): 90.00 90.00 90.00
Closest atoms and distances in Å follow each position.
Space group Fmm2 (No. 42)
One atom of each set of equivalent atoms:
Zr1 0.0000 0.0000 0.0000  2 Cr 2.75, 4 Zr 2.85, 2 W 2.95
Cr1 0.0000 0.0000 0.3309  2 W 2.48, 2 Zr 2.75
W1 0.0000 0.0000 0.6872  2 Cr 2.48

=====

7.
Material: Zr2Cr2W
Method: DFT, PBE
State: optimized geometry

Calculated values
Energy of formation from the pure elements   23.30 kJ/mol of atoms
Total magnetic moment   0.00 μB per formula unit
DFT total energy   -9.6178 eV per atom

a b c (Å): 6.2243 6.2243 4.5311
angles (deg): 90.00 90.00 90.00
Closest atoms and distances in Å follow each position.
Space group P4/mbm (No. 127)
One atom of each set of equivalent atoms:
Zr1 0.1793 0.3207 0.0000  6 Cr 2.85-2.97, 1 Zr 3.16
Cr1 0.1243 0.6243 0.5000  1 Cr 2.19
W1 0.0000 0.0000 0.5000  4 Cr 2.46

=====

8.
Material: ZrCrW3
Method: DFT, PBE
State: optimized geometry

Calculated values
Energy of formation from the pure elements   285.33 kJ/mol of atoms
Total magnetic moment   0.06 μB per formula unit
Distance to the lowest polymorph of the same formula   1.862 eV/atom
DFT total energy   -8.4489 eV per atom

a b c (Å): 4.7386 4.7386 4.7386
angles (deg): 90.00 90.00 90.00
Closest atoms and distances in Å follow each position.
Space group Pm-3m (No. 221)
One atom of each set of equivalent atoms:
Zr1 0.0000 0.0000 0.0000  6 W 2.37
Cr1 0.5000 0.5000 0.5000  12 W 3.35
W1 0.0000 0.0000 0.5000  2 Zr 2.37

=====

9.
Material: ZrCrW2
Method: DFT, PBE
State: optimized geometry

Calculated values
Energy of formation from the pure elements   29.07 kJ/mol of atoms
Total magnetic moment   0.00 μB per formula unit
Distance to the lowest polymorph of the same formula   0.181 eV/atom
DFT total energy   -10.7182 eV per atom

a b c (Å): 4.5023 4.5023 3.2130
angles (deg): 90.00 90.00 90.00
Closest atoms and distances in Å follow each position.
Space group P4/mmm (No. 123)
One atom of each set of equivalent atoms:
Zr1 0.0000 0.0000 0.0000  8 W 2.77
Cr1 0.5000 0.5000 0.0000  8 W 2.77
W1 0.0000 0.5000 0.5000  4 Cr 2.77, 4 Zr 2.77

=====

10.
Material: ZrCrW2
Method: DFT, PBE
State: optimized geometry

Calculated values
Energy of formation from the pure elements   11.62 kJ/mol of atoms
Total magnetic moment   0.00 μB per formula unit
Distance to the lowest polymorph of the same formula   0.000 eV/atom
DFT total energy   -10.8990 eV per atom

a b c (Å): 3.1705 3.1705 6.5370
angles (deg): 90.00 90.00 90.00
Closest atoms and distances in Å follow each position.
Space group P4mm (No. 99)
One atom of each set of equivalent atoms:
Zr1 0.0000 0.0000 0.0000  4 Cr 2.81, 5 W 2.89-3.15
Cr1 0.5000 0.5000 0.2600  4 W 2.67, 4 Zr 2.81
W1 0.0000 0.0000 0.4814  4 Cr 2.67, 4 W 2.73
W2 0.5000 0.5000 0.7207  4 W 2.73, 4 Zr 2.89, 1 Cr 3.01

=====

11.
Material: ZrCr2W
Method: DFT, PBE
State: optimized geometry

Calculated values
Energy of formation from the pure elements   25.59 kJ/mol of atoms
Total magnetic moment   0.00 μB per formula unit
Distance to the lowest polymorph of the same formula   0.135 eV/atom
DFT total energy   -9.9218 eV per atom

a b c (Å): 2.8535 4.1833 5.3907
angles (deg): 90.00 101.16 90.00
Closest atoms and distances in Å follow each position.
Space group P2/m (No. 10)
One atom of each set of equivalent atoms:
Zr1 0.0000 0.0000 0.0000  2 W 2.80, 4 Cr 2.80, 2 Zr 2.85
Cr1 0.2265 0.5000 0.6996  1 Cr 2.29, 2 W 2.54
W1 0.5000 0.0000 0.5000  4 Cr 2.54, 2 Zr 2.80

=====

12.
Material: ZrCr2W
Method: DFT, PBE
State: optimized geometry

Calculated values
Energy of formation from the pure elements   28.50 kJ/mol of atoms
Total magnetic moment   0.03 μB per formula unit
Distance to the lowest polymorph of the same formula   0.165 eV/atom
DFT total energy   -9.8916 eV per atom

a b c (Å): 6.2426 6.2426 6.2426
angles (deg): 90.00 90.00 90.00
Closest atoms and distances in Å follow each position.
Space group F-43m (No. 216)
One atom of each set of equivalent atoms:
Zr1 0.0000 0.0000 0.0000  4 Cr 2.70, 4 W 2.70
Cr1 0.0000 0.0000 0.5000  4 Cr 2.70, 4 W 2.70
Cr2 0.2500 0.2500 0.7500  4 Cr 2.70, 4 Zr 2.70
W1 0.2500 0.2500 0.2500  4 Cr 2.70, 4 Zr 2.70

=====

13.
Material: ZrCr2W
Method: DFT, PBE
State: optimized geometry

Calculated values
Energy of formation from the pure elements   29.13 kJ/mol of atoms
Total magnetic moment   0.00 μB per formula unit
Distance to the lowest polymorph of the same formula   0.172 eV/atom
DFT total energy   -9.8851 eV per atom

a b c (Å): 5.6375 8.4385 2.7414
angles (deg): 90.00 110.53 90.00
Closest atoms and distances in Å follow each position.
Space group C2/m (No. 12)
One atom of each set of equivalent atoms:
Zr1 0.0000 0.0000 0.0000  4 Cr 2.64, 2 Zr 2.74, 2 W 2.82
Cr1 0.2500 0.2500 0.5000  2 W 2.64, 2 Zr 2.64, 4 Cr 2.74-2.82
W1 0.0000 0.5000 0.0000  4 Cr 2.64, 2 W 2.74, 2 Zr 2.82

=====

14.
Material: ZrCrW2
Method: DFT, PBE
State: optimized geometry

Calculated values
Energy of formation from the pure elements   16.77 kJ/mol of atoms
Total magnetic moment   0.00 μB per formula unit
Distance to the lowest polymorph of the same formula   0.053 eV/atom
DFT total energy   -10.8457 eV per atom

a b c (Å): 3.1635 4.5764 9.0058
angles (deg): 90.00 90.00 90.00
Closest atoms and distances in Å follow each position.
Space group Cmmm (No. 65)
One atom of each set of equivalent atoms:
Zr1 0.0000 0.0000 0.0000  4 Zr 2.78, 4 W 2.96
Cr1 0.0000 0.0000 0.5000  4 W 2.55, 4 Cr 2.78
W1 0.0000 0.5000 0.2774  2 Cr 2.55, 4 W 2.78

=====

15.
Material: ZrCrW2
Method: DFT, PBE
State: optimized geometry

Calculated values
Energy of formation from the pure elements   45.19 kJ/mol of atoms
Total magnetic moment   0.02 μB per formula unit
Distance to the lowest polymorph of the same formula   0.348 eV/atom
DFT total energy   -10.5512 eV per atom

a b c (Å): 5.3259 9.4064 2.6786
angles (deg): 90.00 90.00 90.00
Closest atoms and distances in Å follow each position.
Space group Cmmm (No. 65)
One atom of each set of equivalent atoms:
Zr1 0.0000 0.0000 0.0000  2 Cr 2.66, 2 Zr 2.68
Cr1 0.0000 0.5000 0.0000  2 Zr 2.66, 2 Cr 2.68
W1 0.2500 0.2500 0.5000  4 W 2.66-2.68